A) ## Tl2Mo (GGA-PBEsol)

Data for Tl2Mo after structural relaxation.

Output
As for the space group: P4/mmm (123). Its total moment is 0.00 μB/cell. The value obtained for the density of states at the Fermi level is 1.923 states/eV/cell. The crystal system is tetragonal.

Unit cell a=2.9310 b=4.9105 c=4.9105 alpha=90.00 beta=90.00 gamma=90.00
Sites, in units of the cell vectors:
Tl (0.5000, 0.5000, 0.0000)
Tl (0.5000, 0.0000, 0.5000)
Mo (0.0000, 0.0000, 0.0000)

=====

B) ## Tl2Mo (GGA-PBEsol)

Data for Tl2Mo after structural relaxation.

Output
As for the space group: P6/mmm (191). Its total moment is 0.01 μB/cell. The value obtained for the density of states at the Fermi level is 2.730 states/eV/cell. The crystal system is hexagonal.

Unit cell a=2.8438 b=5.0229 c=5.0229 alpha=120.00 beta=90.00 gamma=90.00
Sites, in units of the cell vectors:
Tl (0.0000, 0.3333, 0.6667)
Tl (0.0000, 0.6667, 0.3333)
Mo (0.5000, 0.0000, 0.0000)

=====

Which of them is the least stable? Correct choice: B).

=====

A) ## TlMo3 (GGA-PBEsol)

Data for TlMo3 after structural relaxation.

Output
As for the space group: Fm-3m (225). Its total moment is 0.00 μB/cell. The value obtained for the density of states at the Fermi level is 3.517 states/eV/cell. The crystal system is cubic.

Unit cell a=4.5497 b=4.5497 c=4.5497 alpha=60.00 beta=60.00 gamma=60.00
Sites, in units of the cell vectors:
Mo (0.7500, 0.7500, 0.7500)
Mo (0.5000, 0.5000, 0.5000)
Mo (0.2500, 0.2500, 0.2500)
Tl (0.0000, 0.0000, 0.0000)

=====

B) ## TlMo3 (GGA-PBEsol)

Data for TlMo3 after structural relaxation.

Output
As for the space group: P4/mmm (123). Its total moment is 0.00 μB/cell. The value obtained for the density of states at the Fermi level is 1.931 states/eV/cell. The crystal system is tetragonal.

Unit cell a=3.3324 b=3.3324 c=6.0863 alpha=90.00 beta=90.00 gamma=90.00
Sites, in units of the cell vectors:
Tl (0.5000, 0.5000, 0.5000)
Mo (0.0000, 0.0000, 0.7844)
Mo (0.0000, 0.0000, 0.2156)
Mo (0.5000, 0.5000, 0.0000)

=====

Which of them is the least stable? Correct choice: A).

=====

A) ## TlMo2W (GGA-PBEsol)

Data for TlMo2W after structural relaxation.

Output
As for the space group: F-43m (216). Its total moment is 0.00 μB/cell. The value obtained for the density of states at the Fermi level is 3.545 states/eV/cell. The crystal system is cubic.

Unit cell a=4.5584 b=4.5584 c=4.5584 alpha=60.00 beta=60.00 gamma=60.00
Sites, in units of the cell vectors:
Mo (0.2500, 0.2500, 0.2500)
Mo (0.0000, 0.0000, 0.0000)
Tl (0.5000, 0.5000, 0.5000)
W (0.7500, 0.7500, 0.7500)

=====

B) ## TlMo2W (GGA-PBEsol)

Data for TlMo2W after structural relaxation.

Output
As for the space group: Imm2 (44). Its total moment is 0.00 μB/cell. The value obtained for the density of states at the Fermi level is 3.621 states/eV/cell. The crystal system is orthorhombic.

Unit cell a=3.2758 b=4.4996 c=5.3228 alpha=115.00 beta=107.92 gamma=90.00
Sites, in units of the cell vectors:
Tl (0.5008, 0.0008, 0.0015)
Mo (0.9978, 0.4978, 0.9957)
Mo (0.7343, 0.7343, 0.4687)
W (0.2670, 0.2670, 0.5341)

=====

Which of them is the least stable? Correct choice: A).

=====

A) ## YTl2Mo (GGA-PBEsol)

Data for YTl2Mo after structural relaxation.

Output
As for the space group: Cmmm (65). Its total moment is 0.03 μB/cell. The value obtained for the density of states at the Fermi level is 3.413 states/eV/cell. The crystal system is orthorhombic.

Unit cell a=3.2955 b=5.2158 c=5.2158 alpha=106.99 beta=90.00 gamma=90.00
Sites, in units of the cell vectors:
Mo (0.5000, 0.0000, 0.0000)
Tl (0.0000, 0.0000, 0.5000)
Tl (0.0000, 0.5000, 0.0000)
Y (0.5000, 0.5000, 0.5000)

=====

B) ## YTl2Mo (GGA-PBEsol)

Data for YTl2Mo after structural relaxation.

Output
As for the space group: P4/mmm (123). Its total moment is 1.43 μB/cell. The value obtained for the density of states at the Fermi level is 2.644 states/eV/cell. The crystal system is tetragonal.

Unit cell a=3.2755 b=3.2755 c=8.0411 alpha=90.00 beta=90.00 gamma=90.00
Each line ends with the local moment (μB).
Sites, in units of the cell vectors:
Y (0.5000, 0.5000, 0.0000)  0.29
Tl (0.0000, 0.0000, 0.2763)  0.01
Tl (0.0000, 0.0000, 0.7237)  0.01
Mo (0.5000, 0.5000, 0.5000)  0.93

=====

Which of them is the least stable? Correct choice: A).

=====

A) ## MoW (GGA-PBEsol)

Data for MoW after structural relaxation.

Output
As for the space group: C2/m (12). Its total moment is 0.00 μB/cell. The value obtained for the density of states at the Fermi level is 3.232 states/eV/cell. The crystal system is monoclinic.

Unit cell a=3.1426 b=5.1997 c=6.2872 alpha=107.62 beta=90.00 gamma=107.59
Sites, in units of the cell vectors:
W (0.5000, 0.0000, 0.0000)
W (0.1672, 0.3343, 0.8325)
W (0.8328, 0.6657, 0.1675)
Mo (0.8339, 0.6678, 0.6661)
Mo (0.5000, 0.0000, 0.5000)
Mo (0.1661, 0.3322, 0.3339)

=====

B) ## MoW (GGA-PBEsol)

Data for MoW after structural relaxation.

Output
As for the space group: P4/nmm (129). Its total moment is 0.00 μB/cell. The value obtained for the density of states at the Fermi level is 3.206 states/eV/cell. The crystal system is tetragonal.

Unit cell a=2.6415 b=2.6415 c=9.0675 alpha=90.00 beta=90.00 gamma=90.00
Sites, in units of the cell vectors:
Mo (0.5000, 0.0000, 0.1250)
Mo (0.0000, 0.5000, 0.8750)
W (0.5000, 0.0000, 0.6251)
W (0.0000, 0.5000, 0.3749)

=====

Which of them is the least stable? Correct choice: B).

=====

A) ## MoW (GGA-PBEsol)

Data for MoW after structural relaxation.

Output
As for the space group: P2_1/m (11). Its total moment is 0.00 μB/cell. The value obtained for the density of states at the Fermi level is 1.784 states/eV/cell. The crystal system is monoclinic.

Unit cell a=2.7187 b=4.4459 c=5.2049 alpha=90.00 beta=100.07 gamma=90.00
Sites, in units of the cell vectors:
Mo (0.3766, 0.2500, 0.1251)
Mo (0.6234, 0.7500, 0.8749)
W (0.8728, 0.2500, 0.6254)
W (0.1272, 0.7500, 0.3746)

=====

B) ## MoW (GGA-PBEsol)

Data for MoW after structural relaxation.

Output
As for the space group: Pm-3m (221). Its total moment is 0.00 μB/cell. The value obtained for the density of states at the Fermi level is 1.243 states/eV/cell. The crystal system is cubic.

Unit cell a=3.1399 b=3.1399 c=3.1399 alpha=90.00 beta=90.00 gamma=90.00
Sites, in units of the cell vectors:
W (0.5000, 0.5000, 0.5000)
Mo (0.0000, 0.0000, 0.0000)

=====

Which of them is the least stable? Correct choice: A).

=====

A) ## MoW (GGA-PBEsol)

Data for MoW after structural relaxation.

Output
As for the space group: Cmme (67). Its total moment is 0.00 μB/cell. The value obtained for the density of states at the Fermi level is 1.797 states/eV/cell. The crystal system is orthorhombic.

Unit cell a=2.7175 b=2.7176 c=8.8872 alpha=90.00 beta=90.00 gamma=109.46
Sites, in units of the cell vectors:
Mo (0.2500, 0.7500, 0.1241)
Mo (0.7500, 0.2500, 0.8759)
W (0.7500, 0.2500, 0.3740)
W (0.2500, 0.7500, 0.6260)

=====

B) ## MoW (GGA-PBEsol)

Data for MoW after structural relaxation.

Output
As for the space group: Imma (74). Its total moment is 0.00 μB/cell. The value obtained for the density of states at the Fermi level is 1.992 states/eV/cell. The crystal system is orthorhombic.

Unit cell a=3.1384 b=4.4369 c=5.2108 alpha=115.20 beta=107.53 gamma=90.00
Sites, in units of the cell vectors:
Mo (0.6250, 0.3750, 0.2499)
Mo (0.3750, 0.6250, 0.7501)
W (0.1248, 0.8748, 0.2497)
W (0.8752, 0.1252, 0.7503)

=====

Which of them is the least stable? Correct choice: A).